No. 1
Compound: CsDy2Cu3Te4S
Source: OQMD
Functional: GGA-PBE
Structure: relaxed

Results
total magnetic moment = 0.000 μB/atom
total DFT energy (no corrections) = -4.3580 eV/atom
crystal system = orthorhombic
symmetry = No. 63

Cell lengths 8.1001, 8.1001, 17.9210 Å; angles 90.00, 90.00, 149.29 degrees
Fractional coordinates of all 22 atoms:
1 Cs 0.0726 0.9274 0.7500
2 Cs 0.9274 0.0726 0.2500
3 Dy 0.1953 0.8047 0.1015
4 Dy 0.1953 0.8047 0.3985
5 Dy 0.8047 0.1953 0.6015
6 Dy 0.8047 0.1953 0.8985
7 Cu 0.3333 0.6667 0.7500
8 Cu 0.4176 0.5824 0.0235
9 Cu 0.4176 0.5824 0.4765
10 Cu 0.5824 0.4176 0.5235
11 Cu 0.5824 0.4176 0.9765
12 Cu 0.6667 0.3333 0.2500
13 Te 0.1652 0.8348 0.5688
14 Te 0.1652 0.8348 0.9312
15 Te 0.4428 0.5572 0.6209
16 Te 0.4428 0.5572 0.8791
17 Te 0.5572 0.4428 0.1209
18 Te 0.5572 0.4428 0.3791
19 Te 0.8348 0.1652 0.0688
20 Te 0.8348 0.1652 0.4312
21 S 0.2309 0.7691 0.2500
22 S 0.7691 0.2309 0.7500

***

No. 2
Compound: CsDy2CuTe3S
Source: OQMD
Functional: GGA-PBE
Structure: relaxed

Results
total magnetic moment = 0.000 μB/atom
polymorph energy (0 for the lowest one) = 0.00 eV/f.u.
total DFT energy (no corrections) = -4.6576 eV/atom
crystal system = orthorhombic
symmetry = No. 63

Cell lengths 7.9883, 7.9883, 14.9987 Å; angles 90.00, 90.00, 148.76 degrees
Fractional coordinates of all 16 atoms:
1 Cs 0.0917 0.9083 0.7500
2 Cs 0.9083 0.0917 0.2500
3 Dy 0.3675 0.6325 0.5764
4 Dy 0.3675 0.6325 0.9236
5 Dy 0.6325 0.3675 0.0764
6 Dy 0.6325 0.3675 0.4236
7 Cu 0.1598 0.8402 0.2500
8 Cu 0.8402 0.1598 0.7500
9 Te 0.0000 0.0000 0.0000
10 Te 0.0000 0.0000 0.5000
11 Te 0.2654 0.7346 0.1107
12 Te 0.2654 0.7346 0.3893
13 Te 0.7346 0.2654 0.6107
14 Te 0.7346 0.2654 0.8893
15 S 0.4146 0.5854 0.7500
16 S 0.5854 0.4146 0.2500

***

No. 3
Compound: CsDy2Cu3Se5
Source: OQMD
Functional: GGA-PBE
Structure: relaxed

Results
total magnetic moment = 0.000 μB/atom
total DFT energy (no corrections) = -4.6395 eV/atom
crystal system = orthorhombic
symmetry = No. 63

Cell lengths 7.6296, 7.6296, 17.3926 Å; angles 90.00, 90.00, 148.54 degrees
Fractional coordinates of all 22 atoms:
1 Cs 0.0612 0.9388 0.7500
2 Cs 0.9388 0.0612 0.2500
3 Dy 0.1922 0.8078 0.0911
4 Dy 0.1922 0.8078 0.4089
5 Dy 0.8078 0.1922 0.5911
6 Dy 0.8078 0.1922 0.9089
7 Cu 0.3430 0.6570 0.7500
8 Cu 0.4157 0.5843 0.0307
9 Cu 0.4157 0.5843 0.4693
10 Cu 0.5843 0.4157 0.5307
11 Cu 0.5843 0.4157 0.9693
12 Cu 0.6570 0.3430 0.2500
13 Se 0.1678 0.8322 0.5705
14 Se 0.1678 0.8322 0.9295
15 Se 0.2376 0.7624 0.2500
16 Se 0.4394 0.5606 0.6122
17 Se 0.4394 0.5606 0.8878
18 Se 0.5606 0.4394 0.1122
19 Se 0.5606 0.4394 0.3878
20 Se 0.7624 0.2376 0.7500
21 Se 0.8322 0.1678 0.0705
22 Se 0.8322 0.1678 0.4295